# GGA-PBE Li2OsN2, relaxed
data_Li2OsN2
_chemical_formula_sum 'Li4 Os2 N4'
_cell_length_a 5.8454
_cell_length_b 2.9776
_cell_length_c 5.2303
_cell_angle_alpha 90.00
_cell_angle_beta 91.33
_cell_angle_gamma 90.00
_symmetry_space_group_name_H-M 'C 1 2/m 1'
_symmetry_Int_Tables_number 12
_symmetry_space_group_name_Hall '-C 2y'
loop_
_atom_site_label
_atom_site_fract_x
_atom_site_fract_y
_atom_site_fract_z
Li1 0.1541 0.0000 0.3647
Os1 0.0000 0.5000 0.0000
N1 0.1771 0.0000 0.7907
# * magnetization: 0.0 μB per cell
# * electronic total energy: -6.34 eV per atom
# * energy relative to the elements, uncorrected: 3 meV/atom
# * density: 8.5 Mg/m³